Below is an optimized crystal structure of La2HgRh, with properties calculated at the PBE-GGA level.

Summary:
ΔE_f, eV/atom: -0.62

The structure in POSCAR format:
```
La2HgRh
1.0
2.112 1.219 7.791
-2.112 1.219 7.791
0.000 -2.439 7.791
La Hg Rh
2 1 1
Direct
0.000 0.000 0.000
0.200 0.200 0.200
0.767 0.767 0.767
0.601 0.601 0.601
```

---

Below is an optimized crystal structure of Ca3LaF, with properties calculated at the PBE-GGA level.

Summary:
Energy relative to the lowest polymorph listed for this composition, eV/atom: 0.0000
Formation energy from raw total energies, eV/atom: -0.909

The structure in POSCAR format:
```
Ca3LaF
1.0
5.384 0.000 0.000
0.000 5.384 0.000
0.000 0.000 5.384
Ca La F
3 1 1
Direct
0.000 0.000 0.500
0.000 0.500 0.000
0.500 0.000 0.000
0.500 0.500 0.500
0.000 0.000 0.000
```

---

Below is an optimized crystal structure of InTeH4, with properties calculated at the PBE-GGA level.

The structure in POSCAR format:
```
InTeH4
1.0
3.264 -6.438 0.000
3.264 6.438 0.000
-2.643 0.000 4.692
In Te H
2 2 8
Direct
0.067 0.933 0.750
0.933 0.067 0.250
0.362 0.638 0.250
0.638 0.362 0.750
0.104 0.222 0.672
0.213 0.679 0.004
0.222 0.104 0.172
0.321 0.787 0.496
0.679 0.213 0.504
0.778 0.896 0.828
0.787 0.321 0.996
0.896 0.778 0.328
```

---

Below is an optimized crystal structure of TcAgRu2, with properties calculated at the PBE-GGA level.

Summary:
Energy relative to the lowest polymorph listed for this composition, eV/atom: 0.3364
ΔE_f, eV/atom: 0.53

The structure in POSCAR format:
```
TcAgRu2
1.0
-1.393 2.341 4.742
1.393 -2.341 4.742
1.393 2.341 -4.742
Tc Ag Ru
1 1 2
Direct
0.000 0.000 0.000
0.500 0.500 0.000
0.224 0.724 0.500
0.776 0.276 0.500
```

---

Below is an optimized crystal structure of AcMn3I9, with properties calculated at the PBE-GGA level.

Summary:
Formation energy from raw total energies, eV/atom: -0.730

The structure in POSCAR format:
```
AcMn3I9
1.0
10.603 -5.253 0.000
10.603 5.253 0.000
-9.704 0.000 11.587
Ac Mn I
2 6 18
Direct
0.228 0.772 0.500
0.772 0.228 0.000
0.026 0.269 0.835
0.269 0.026 0.335
0.280 0.432 0.666
0.432 0.280 0.166
0.647 0.812 0.207
0.812 0.647 0.707
0.088 0.221 0.220
0.096 0.938 0.324
0.168 0.444 0.036
0.221 0.088 0.720
0.295 0.670 0.694
0.405 0.407 0.374
0.407 0.405 0.874
0.444 0.168 0.536
0.464 0.768 0.227
0.477 0.986 0.073
0.541 0.779 0.562
0.670 0.295 0.194
0.768 0.464 0.727
0.779 0.541 0.062
0.859 0.880 0.416
0.880 0.859 0.916
0.938 0.096 0.824
0.986 0.477 0.573
```

---

Below is an optimized crystal structure of LaAgSn, with properties calculated at the PBE-GGA level.

Summary:
ΔE_f, eV/atom: -0.50

The structure in POSCAR format:
```
LaAgSn
1.0
-2.893 3.145 4.192
2.893 -3.145 4.192
2.893 3.145 -4.192
La Ag Sn
2 2 2
Direct
0.382 0.132 0.250
0.618 0.868 0.750
0.000 0.000 0.500
0.000 0.500 0.000
0.000 0.500 0.500
0.500 0.500 0.000
```

---

Below is an optimized crystal structure of Y2Hg3Pb2, with properties calculated at the PBE-GGA level.

Summary:
ΔE_f, eV/atom: -0.17

The structure in POSCAR format:
```
Y2Hg3Pb2
1.0
-4.622 4.622 4.622
4.622 -4.622 4.622
4.622 4.622 -4.622
Y Hg Pb
4 6 4
Direct
0.000 0.039 0.500
0.039 0.500 0.000
0.461 0.461 0.461
0.500 0.000 0.039
0.224 0.974 0.250
0.250 0.224 0.974
0.276 0.526 0.750
0.526 0.750 0.276
0.750 0.276 0.526
0.974 0.250 0.224
0.000 0.642 0.500
0.500 0.000 0.642
0.642 0.500 0.000
0.858 0.858 0.858
```

---

Below is an optimized crystal structure of BaAl2F, with properties calculated at the PBE-GGA level.

Summary:
Energy relative to the lowest polymorph listed for this composition, eV/atom: 0.5390
Formation energy from raw total energies, eV/atom: -0.126

The structure in POSCAR format:
```
BaAl2F
1.0
0.000 3.722 3.722
3.722 0.000 3.722
3.722 3.722 0.000
Ba Al F
1 2 1
Direct
0.000 0.000 0.000
0.250 0.250 0.250
0.750 0.750 0.750
0.500 0.500 0.500
```

---

| no. | volume (Å³ per cell) | energy (eV/f.u.) |
| --- | --- | --- |
| 1 | 120 | -19.98 |
| 2 | 156 | -17.35 |
| 3 | 197 | -17.05 |
| 4 | 62 | -29.64 |
| 5 | 1291 | -55.06 |
| 6 | 153 | -13.27 |
| 7 | 395 | -22.45 |
| 8 | 103 | -11.78 |